This record from Alexandria via LeMat-Bulk describes CSeS2 after structural relaxation. The functional is GGA-PBEsol.

```
CSeS2
1.0
2.252 1.300 5.562
-2.252 1.300 5.562
0.000 -2.600 5.562
C Se S
1 1 2
Cartesian
0.000 0.000 0.000 C
0.000 0.000 8.344 Se
0.000 0.000 1.565 S
0.000 0.000 15.122 S
```

Computed properties:
Energy relative to the elements, uncorrected ... 16.5 kcal/mol of atoms